(1)
Entry from Alexandria via LeMat-Bulk: a geometry-optimized KCa2Ir2 structure (PBE).

abc: 8.881 8.881 2.972
angles: 90.00 90.00 90.00
Fractional positions:
K 0.000 0.000 0.000
K 0.500 0.500 0.000
Ca 0.135 0.365 0.500
Ca 0.365 0.865 0.500
Ca 0.635 0.135 0.500
Ca 0.865 0.635 0.500
Ir 0.158 0.658 0.000
Ir 0.342 0.158 0.000
Ir 0.658 0.842 0.000
Ir 0.842 0.342 0.000

Computed properties:
crystal system	tetragonal
density of states at the Fermi level	5.7	states/eV per cell
ρ	7.1	g/cm3
energy relative to the elements	0.100	eV/atom

(2)
Entry from Alexandria via LeMat-Bulk: a geometry-optimized KTaZn3 structure (PBE).

abc: 5.217 5.217 5.217
angles: 90.00 90.00 90.00
Fractional positions:
K 0.000 0.000 0.000
Ta 0.500 0.500 0.500
Zn 0.000 0.500 0.500
Zn 0.500 0.000 0.500
Zn 0.500 0.500 0.000

Computed properties:
crystal system	cubic
density of states at the Fermi level	4.3	states/eV per cell
ρ	4.9	g/cm3
energy relative to the elements	0.705	eV/atom
ΔE to the lowest computed polymorph	0.000	eV per atom

(3)
Entry from Alexandria via LeMat-Bulk: a geometry-optimized TcNi2Se structure (PBE).

abc: 6.736 6.736 4.925
angles: 90.00 90.00 90.00
Fractional positions:
Tc 0.000 0.000 0.000
Tc 0.000 0.500 0.250
Tc 0.500 0.000 0.750
Tc 0.500 0.500 0.500
Ni 0.226 0.250 0.625
Ni 0.250 0.726 0.875
Ni 0.250 0.774 0.375
Ni 0.274 0.250 0.125
Ni 0.726 0.750 0.125
Ni 0.750 0.226 0.375
Ni 0.750 0.274 0.875
Ni 0.774 0.750 0.625
Se 0.000 0.000 0.500
Se 0.000 0.500 0.750
Se 0.500 0.000 0.250
Se 0.500 0.500 0.000

Computed properties:
crystal system	tetragonal
raw formation energy	0.282	eV/atom
density of states at the Fermi level	7.7	states/eV per cell
ρ	8.7	g/cm3